Entry 1:
A relaxed structure of LiInS. Source: Alexandria, functional PBE-GGA.

Cell: 3.801 3.801 5.426 Å, 90.00 90.00 120.00°
Element x y z (fractional)
Li1 0.000 0.000 0.000
In1 0.333 0.667 0.513
S1 0.667 0.333 0.202

distance to the lowest polymorph of the same formula: 62.3 meV per atom
SG: P3m1, No. 156
crystal system: trigonal
uncorrected formation energy: -0.72 eV/atom
E: -3.644 eV/atom
calculated volume: 22.632 A^3/atom

Entry 2:
A relaxed structure of LiIn2S3. Source: Alexandria, functional PBE-GGA.

Cell: 6.429 6.429 7.136 Å, 90.59 90.59 63.09°
Element x y z (fractional)
Li1 0.111 0.889 0.750
Li2 0.889 0.111 0.250
In1 0.132 0.503 0.252
In2 0.497 0.868 0.248
In3 0.503 0.132 0.752
In4 0.868 0.497 0.748
S1 0.172 0.172 0.498
S2 0.172 0.172 0.998
S3 0.467 0.533 0.750
S4 0.533 0.467 0.250
S5 0.828 0.828 0.002
S6 0.828 0.828 0.502

distance to the lowest polymorph of the same formula: 121.0 meV per atom
SG: C2/c, No. 15
density of states at the Fermi level: 1.34 states/eV per cell
crystal system: monoclinic
uncorrected formation energy: -0.60 eV/atom
E: -3.897 eV/atom
calculated volume: 21.914 A^3/atom

Entry 3:
A relaxed structure of LiIn2S. Source: Alexandria, functional PBE-GGA.

Cell: 6.383 6.383 6.383 Å, 102.36 102.36 124.89°
Element x y z (fractional)
Li1 0.000 0.000 0.000
Li2 0.750 0.250 0.500
In1 0.154 0.625 0.029
In2 0.375 0.404 0.529
In3 0.596 0.125 0.971
In4 0.875 0.846 0.471
S1 0.250 0.750 0.500
S2 0.500 0.500 0.000

SG: I-42d, No. 122
density of states at the Fermi level: 2.72 states/eV per cell
crystal system: tetragonal
uncorrected formation energy: -0.33 eV/atom
E: -3.209 eV/atom
calculated volume: 23.635 A^3/atom

Entry 4:
A relaxed structure of LiIn3S. Source: Alexandria, functional PBE-GGA.

Cell: 5.400 5.400 5.400 Å, 90.00 90.00 90.00°
Element x y z (fractional)
Li1 0.000 0.000 0.000
In1 0.000 0.500 0.500
In2 0.500 0.000 0.500
In3 0.500 0.500 0.000
S1 0.500 0.500 0.500

distance to the lowest polymorph of the same formula: 41.3 meV per atom
SG: Pm-3m, No. 221
density of states at the Fermi level: 2.15 states/eV per cell
crystal system: cubic
uncorrected formation energy: 0.19 eV/atom
E: -2.659 eV/atom
calculated volume: 31.495 A^3/atom